Record 1
The following is a PBE calculation of Al2PdPt after structural relaxation, from the Alexandria database. Values from VASP.

Cell and atoms, written as Quantum ESPRESSO input:
```
&SYSTEM
  ibrav = 0, nat = 4, ntyp = 3
/
ATOMIC_SPECIES
Al 26.98 Al.upf
Pd 106.42 Pd.upf
Pt 195.08 Pt.upf
ATOMIC_POSITIONS angstrom
Al 0.000 0.000 0.000
Al 0.000 0.000 2.715
Pd 0.000 0.000 11.073
Pt 0.000 0.000 8.286
CELL_PARAMETERS angstrom
2.011 1.161 4.728
-2.011 1.161 4.728
0.000 -2.322 4.728
```

The calculation puts the total magnetic moment at 0.0 μB/f.u. Its formation energy is -0.763 eV per atom. The space group is R3m. The volume is 66.2 Å³/f.u.



Record 2
The following is a PBE calculation of Cs2AsRhF6 after structural relaxation, from the Alexandria database. Values from VASP.

Cell and atoms, written as Quantum ESPRESSO input:
```
&SYSTEM
  ibrav = 0, nat = 10, ntyp = 4
/
ATOMIC_SPECIES
Cs 132.91 Cs.upf
As 74.92 As.upf
Rh 102.91 Rh.upf
F 19.00 F.upf
ATOMIC_POSITIONS angstrom
Cs 2.264 2.264 2.264
Cs 6.792 6.792 6.792
As 0.000 0.000 0.000
Rh 4.528 4.528 4.528
F 4.528 4.528 2.086
F 4.528 2.086 4.528
F 6.970 4.528 4.528
F 2.086 4.528 4.528
F 4.528 6.970 4.528
F 4.528 4.528 6.970
CELL_PARAMETERS angstrom
0.000 4.528 4.528
4.528 0.000 4.528
4.528 4.528 0.000
```

The calculation puts the total magnetic moment at 2.0 μB/f.u. The formation energy (no corrections) comes out at -1.968 eV/atom. The space group is Fm-3m. The volume is 185.7 Å³/f.u.



Record 3
The following is a PBE calculation of RbAgBi3 after structural relaxation, from the Alexandria database. Values from VASP.

Cell and atoms, written as Quantum ESPRESSO input:
```
&SYSTEM
  ibrav = 0, nat = 5, ntyp = 3
/
ATOMIC_SPECIES
Rb 85.47 Rb.upf
Ag 107.87 Ag.upf
Bi 208.98 Bi.upf
ATOMIC_POSITIONS angstrom
Rb 0.000 0.000 0.000
Ag 3.090 3.090 3.090
Bi 0.000 0.000 3.090
Bi 0.000 3.090 0.000
Bi 3.090 0.000 0.000
CELL_PARAMETERS angstrom
6.180 0.000 0.000
0.000 6.180 0.000
0.000 0.000 6.180
```

The calculation puts the total magnetic moment at 0.0 μB/f.u. Its formation energy is 1.398 eV per atom. The space group is Pm-3m. The volume is 236.0 Å³/f.u.



Record 4
The following is a PBE calculation of LaNdEu2 after structural relaxation, from the Alexandria database. Values from VASP.

Cell and atoms, written as Quantum ESPRESSO input:
```
&SYSTEM
  ibrav = 0, nat = 4, ntyp = 3
/
ATOMIC_SPECIES
La 138.91 La.upf
Nd 144.24 Nd.upf
Eu 151.96 Eu.upf
ATOMIC_POSITIONS angstrom
La 0.000 0.000 0.000
Nd 0.000 0.000 18.721
Eu 0.000 0.000 9.331
Eu 0.000 0.000 28.112
CELL_PARAMETERS angstrom
1.879 1.085 12.481
-1.879 1.085 12.481
0.000 -2.169 12.481
```

The calculation puts the total magnetic moment at 15.1 μB/f.u. Its formation energy is 0.065 eV per atom. The space group is R-3m. The volume is 152.6 Å³/f.u.



Record 5
The following is a PBE calculation of CaY3F after structural relaxation, from the Alexandria database. Values from VASP.

Cell and atoms, written as Quantum ESPRESSO input:
```
&SYSTEM
  ibrav = 0, nat = 5, ntyp = 3
/
ATOMIC_SPECIES
Ca 40.08 Ca.upf
Y 88.91 Y.upf
F 19.00 F.upf
ATOMIC_POSITIONS angstrom
Ca 0.000 0.000 0.000
Y 0.000 0.000 2.877
Y 0.000 2.877 0.000
Y 2.877 0.000 0.000
F 2.877 2.877 2.877
CELL_PARAMETERS angstrom
5.754 0.000 0.000
0.000 5.754 0.000
0.000 0.000 5.754
```

The calculation puts the total magnetic moment at 0.0 μB/f.u. The formation energy (no corrections) comes out at 0.801 eV/atom. The space group is Pm-3m. The volume is 190.5 Å³/f.u.



Record 6
The following is a PBE calculation of Na3U3RuN8 after structural relaxation, from the Alexandria database. Values from VASP.

Cell and atoms, written as Quantum ESPRESSO input:
```
&SYSTEM
  ibrav = 0, nat = 15, ntyp = 4
/
ATOMIC_SPECIES
Na 22.99 Na.upf
U 238.03 U.upf
Ru 101.07 Ru.upf
N 14.01 N.upf
ATOMIC_POSITIONS angstrom
Na -1.690 -0.976 5.651
Na -1.690 0.976 11.302
Na 0.000 1.952 5.651
U -3.381 0.000 8.476
U -1.690 0.976 2.825
U 1.690 0.976 2.825
Ru 0.000 0.000 8.476
N -1.708 -0.986 9.470
N 0.000 0.000 3.900
N 0.000 -1.973 7.482
N -1.708 0.986 7.482
N 1.708 -0.986 9.470
N 0.000 1.973 9.470
N 0.000 0.000 13.052
N 1.708 0.986 7.482
CELL_PARAMETERS angstrom
3.381 1.952 5.651
-3.381 1.952 5.651
0.000 -3.904 5.651
```

The calculation puts the total magnetic moment at 1.0 μB/f.u. The formation energy (no corrections) comes out at -0.727 eV/atom. The space group is R-3m. The volume is 223.7 Å³/f.u.



Record 7
The following is a PBE calculation of CdAs3 after structural relaxation, from the Alexandria database. Values from VASP.

Cell and atoms, written as Quantum ESPRESSO input:
```
&SYSTEM
  ibrav = 0, nat = 16, ntyp = 2
/
ATOMIC_SPECIES
Cd 112.41 Cd.upf
As 74.92 As.upf
ATOMIC_POSITIONS angstrom
Cd 0.000 0.000 0.000
Cd 0.000 0.000 3.370
Cd 0.000 4.469 1.685
Cd 3.871 2.235 5.055
As -1.935 3.352 0.000
As -1.935 3.352 3.370
As 0.000 2.370 5.055
As -1.818 5.519 5.055
As 2.053 1.185 1.685
As 3.871 0.000 0.000
As 3.871 0.000 3.370
As 1.935 3.352 0.000
As 1.935 3.352 3.370
As 1.818 5.519 5.055
As 5.688 1.185 1.685
As 3.871 4.334 1.685
CELL_PARAMETERS angstrom
7.741 0.000 0.000
-3.871 6.704 0.000
0.000 0.000 6.740
```

The calculation puts the total magnetic moment at 0.0 μB/f.u. Its formation energy is 0.165 eV per atom. The space group is P6_3/mmc. The volume is 87.4 Å³/f.u.



Record 8
The following is a PBE calculation of HoTmGe after structural relaxation, from the Alexandria database. Values from VASP.

Cell and atoms, written as Quantum ESPRESSO input:
```
&SYSTEM
  ibrav = 0, nat = 3, ntyp = 3
/
ATOMIC_SPECIES
Ho 164.93 Ho.upf
Tm 168.93 Tm.upf
Ge 72.64 Ge.upf
ATOMIC_POSITIONS angstrom
Ho 0.000 0.000 0.000
Tm 0.000 0.000 9.179
Ge 0.000 0.000 4.573
CELL_PARAMETERS angstrom
-1.720 1.720 6.423
1.720 -1.720 6.423
1.720 1.720 -6.423
```

The calculation puts the total magnetic moment at 0.0 μB/f.u. Its formation energy is -0.443 eV per atom. The space group is I4mm. The volume is 76.0 Å³/f.u.